Cs12Rb5I3: relaxed, PBE.

Summary:
Total moment ... 0.00 μB per formula unit
Energy relative to the elements, uncorrected ... -0.2833 eV per atom
V ... 9057.60 Å³/cell

```
Cs12Rb5I3
1.0
22.7446 0.0000 0.0000
-7.5815 21.4438 0.0000
-7.5815 -10.7219 18.5709
I Cs Rb
12 48 20
Direct
0.7500 0.3750 0.1250
0.8750 0.7500 0.1250
0.3750 0.7500 0.6250
0.2500 0.1250 0.3750
0.8750 0.1250 0.2500
0.3750 0.6250 0.2500
0.6250 0.3750 0.7500
0.1250 0.8750 0.7500
0.7500 0.8750 0.6250
0.6250 0.2500 0.3750
0.1250 0.2500 0.8750
0.2500 0.6250 0.8750
0.7499 0.1243 0.0886
0.3388 0.5886 0.4644
0.9114 0.3757 0.2501
0.5886 0.2499 0.1243
0.6256 0.7499 0.6612
0.9114 0.5356 0.1612
0.3388 0.7501 0.3744
0.0356 0.8744 0.1243
0.5356 0.9114 0.6612
0.7499 0.6256 0.1612
0.7501 0.4114 0.3757
0.8388 0.9644 0.0886
0.1243 0.7499 0.5886
0.3757 0.4644 0.1256
0.1256 0.9644 0.3757
0.3744 0.1243 0.5356
0.1256 0.1612 0.2499
0.4114 0.6612 0.0356
0.8388 0.8744 0.2501
0.1243 0.3744 0.0356
0.3757 0.9114 0.7501
0.5356 0.6243 0.3744
0.9644 0.8388 0.5886
0.7501 0.3388 0.8744
0.4644 0.3757 0.6256
0.0356 0.1612 0.4114
0.2499 0.6612 0.1256
0.1612 0.1256 0.7499
0.6243 0.0886 0.2499
0.8757 0.6256 0.9644
0.5886 0.3388 0.9644
0.6256 0.8757 0.4644
0.8744 0.8388 0.7501
0.8744 0.0356 0.6243
0.8757 0.2501 0.4114
0.1612 0.0356 0.9114
0.6243 0.5356 0.8744
0.4644 0.0886 0.3388
0.2501 0.3744 0.8388
0.2499 0.5886 0.6243
0.9644 0.1256 0.8757
0.6612 0.2499 0.6256
0.4114 0.7501 0.8757
0.0886 0.4644 0.8388
0.3744 0.2501 0.3388
0.0886 0.6243 0.7499
0.6612 0.4114 0.5356
0.2501 0.8757 0.9114
0.1250 0.3750 0.2500
0.0000 0.5000 0.0000
0.0000 0.0000 0.0000
0.3750 0.2500 0.1250
0.5000 0.0000 0.5000
0.5000 0.5000 0.0000
0.1250 0.7500 0.3750
0.7500 0.1250 0.8750
0.7500 0.6250 0.3750
0.3750 0.1250 0.7500
0.6250 0.8750 0.2500
0.5000 0.5000 0.5000
0.5000 0.0000 0.0000
0.0000 0.0000 0.5000
0.2500 0.3750 0.6250
0.2500 0.8750 0.1250
0.0000 0.5000 0.5000
0.8750 0.2500 0.6250
0.6250 0.7500 0.8750
0.8750 0.6250 0.7500
```

---

K2SbTe: relaxed, PBE.

Summary:
Total moment ... 1.00 μB per formula unit
Energy relative to the elements, uncorrected ... -0.3511 eV per atom
V ... 301.54 Å³/cell

```
K2SbTe
1.0
9.7050 0.0000 0.0000
0.0000 9.7050 0.0000
4.8525 4.8525 3.2015
Sb K Te
2 4 2
Direct
0.5000 0.5000 0.0000
0.2500 0.7500 0.5000
0.6380 0.1250 0.2500
0.1120 0.6250 0.2500
0.3750 0.3620 0.7500
0.8750 0.8880 0.7500
0.0000 0.0000 0.0000
0.7500 0.2500 0.5000
```

---

Sm2RhAu: relaxed, PBE.

Summary:
Total moment ... 0.00 μB per formula unit
E_form ... -294 kJ/mol of formula units
V ... 92.45 Å³/cell

```
Sm2RhAu
1.0
3.5975 0.0000 0.0000
0.0000 3.5975 0.0000
0.0000 0.0000 7.1430
Rh Au Sm
1 1 2
Direct
0.5000 0.5000 0.0000
0.5000 0.5000 0.5000
0.0000 0.0000 0.7639
0.0000 0.0000 0.2361
```

---

Question: Among the records above, which one has the highest V?
Answer: Cs12Rb5I3